No. 1
Below is a relaxed structure of CsNa2Ni, with properties calculated at the PBE level.

The space group is Fm-3m (No. 225) and the conventional cell measures 7.967, 7.967 and 7.967 Å, with angles of 90.00, 90.00 and 90.00 degrees. The distinct sites, in fractional coordinates, are Cs at (0.000, 0.000, 0.000), Na at (0.250, 0.250, 0.250) and Ni at (0.000, 0.000, 0.500).

The density of states at the Fermi level comes out at 3.50 states/eV/f.u. The value obtained for the total magnetization is 0.0 μB per cell. For the mass density, the calculation gives 3.12 g/cm³. As for the energy: -1.71 eV per atom. Its formation energy is 58 kJ/mol of atoms.



No. 2
Below is a relaxed structure of CsNaNi3, with properties calculated at the PBE level.

The space group is Pm-3m (No. 221) and the conventional cell measures 4.972, 4.972 and 4.972 Å, with angles of 90.00, 90.00 and 90.00 degrees. The distinct sites, in fractional coordinates, are Cs at (0.000, 0.000, 0.000), Na at (0.500, 0.500, 0.500) and Ni at (0.000, 0.500, 0.500).

The density of states at the Fermi level comes out at 13.37 states/eV/f.u. For the polymorph energy (0 for the lowest one), the calculation gives 0.00 kcal/mol of atoms. The value obtained for the total magnetization is 1.2 μB per cell. For the mass density, the calculation gives 4.48 g/cm³. As for the energy: -2.41 eV per atom. Its formation energy is 144 kJ/mol of atoms.



No. 3
Below is a relaxed structure of CsNaNi3, with properties calculated at the PBE level.

The space group is Pm-3m (No. 221) and the conventional cell measures 4.964, 4.964 and 4.964 Å, with angles of 90.00, 90.00 and 90.00 degrees. The distinct sites, in fractional coordinates, are Cs at (0.000, 0.000, 0.000), Na at (0.500, 0.500, 0.500) and Ni at (0.000, 0.000, 0.500).

The density of states at the Fermi level comes out at 2.14 states/eV/f.u. For the polymorph energy (0 for the lowest one), the calculation gives 6.39 kcal/mol of atoms. The value obtained for the total magnetization is 0.0 μB per cell. For the mass density, the calculation gives 4.51 g/cm³. As for the energy: -2.13 eV per atom. Its formation energy is 171 kJ/mol of atoms.



No. 4
Below is a relaxed structure of Cs3NaNi, with properties calculated at the PBE level.

The space group is Pm-3m (No. 221) and the conventional cell measures 6.817, 6.817 and 6.817 Å, with angles of 90.00, 90.00 and 90.00 degrees. The distinct sites, in fractional coordinates, are Cs at (0.000, 0.000, 0.500), Na at (0.500, 0.500, 0.500) and Ni at (0.000, 0.000, 0.000).

The density of states at the Fermi level comes out at 5.73 states/eV/f.u. For the polymorph energy (0 for the lowest one), the calculation gives 0.00 kcal/mol of atoms. The value obtained for the total magnetization is 0.1 μB per cell. For the mass density, the calculation gives 2.52 g/cm³. As for the energy: -1.54 eV per atom. Its formation energy is 38 kJ/mol of atoms.



No. 5
Below is a relaxed structure of CsNa3Ni, with properties calculated at the PBE level.

The space group is Pm-3m (No. 221) and the conventional cell measures 5.736, 5.736 and 5.736 Å, with angles of 90.00, 90.00 and 90.00 degrees. The distinct sites, in fractional coordinates, are Cs at (0.000, 0.000, 0.000), Na at (0.000, 0.500, 0.500) and Ni at (0.500, 0.500, 0.500).

The density of states at the Fermi level comes out at 2.51 states/eV/f.u. The value obtained for the total magnetization is 0.0 μB per cell. For the mass density, the calculation gives 2.29 g/cm³. As for the energy: -1.74 eV per atom. Its formation energy is 37 kJ/mol of atoms.



No. 6
Below is a relaxed structure of CsNaNi2P, with properties calculated at the PBE level.

The space group is P4/mmm (No. 123) and the conventional cell measures 4.404, 4.404 and 6.299 Å, with angles of 90.00, 90.00 and 90.00 degrees. The distinct sites, in fractional coordinates, are Cs at (0.000, 0.000, 0.000), Na at (0.500, 0.500, 0.000), Ni at (0.000, 0.500, 0.500) and P at (0.000, 0.000, 0.500).

The density of states at the Fermi level comes out at 4.84 states/eV/f.u. The value obtained for the total magnetization is 0.9 μB per cell. For the mass density, the calculation gives 4.13 g/cm³. As for the energy: -3.47 eV per atom. Its formation energy is 34 kJ/mol of atoms.



No. 7
Below is a relaxed structure of CsNa2NiSe, with properties calculated at the PBE level.

The space group is P4/mmm (No. 123) and the conventional cell measures 5.394, 5.394 and 5.304 Å, with angles of 90.00, 90.00 and 90.00 degrees. The distinct sites, in fractional coordinates, are Cs at (0.000, 0.000, 0.000), Na at (0.000, 0.500, 0.500), Ni at (0.000, 0.000, 0.500) and Se at (0.500, 0.500, 0.000).

The density of states at the Fermi level comes out at 7.26 states/eV/f.u. The calculation puts the formation energy from raw total energies at 0.197 eV/atom. The value obtained for the total magnetization is 0.0 μB per cell. For the mass density, the calculation gives 3.41 g/cm³. As for the energy: -2.35 eV per atom.



No. 8
Below is a relaxed structure of CsNa2NiSn, with properties calculated at the PBE level.

The space group is P4/mmm (No. 123) and the conventional cell measures 5.756, 5.756 and 4.909 Å, with angles of 90.00, 90.00 and 90.00 degrees. The distinct sites, in fractional coordinates, are Cs at (0.000, 0.000, 0.000), Na at (0.000, 0.500, 0.500), Ni at (0.500, 0.500, 0.500) and Sn at (0.500, 0.500, 0.000).

The density of states at the Fermi level comes out at 2.88 states/eV/f.u. The value obtained for the total magnetization is 0.0 μB per cell. For the mass density, the calculation gives 3.64 g/cm³. As for the energy: -2.63 eV per atom. Its formation energy is 3 kJ/mol of atoms.